(1)
Compound: Na3Ga
Source: Alexandria
Functional: meta-GGA SCAN
Structure: single point on PBEsol structure

Unit cell a=6.7111 b=6.7111 c=5.4976 alpha=90.00 beta=90.00 gamma=120.00
Closest atoms and distances in Å follow each position.
Fractional positions:
Na: 0.1757 0.3513 0.2500  8 Na 3.17-3.54, 4 Ga 3.30-3.36
Na: 0.1757 0.8243 0.2500  8 Na 3.17-3.54, 4 Ga 3.30-3.36
Na: 0.3513 0.1757 0.7500  8 Na 3.17-3.54, 4 Ga 3.30-3.36
Na: 0.6487 0.8243 0.2500  8 Na 3.17-3.54, 4 Ga 3.30-3.36
Na: 0.8243 0.1757 0.7500  8 Na 3.17-3.54, 4 Ga 3.30-3.36
Na: 0.8243 0.6487 0.7500  8 Na 3.17-3.54, 4 Ga 3.30-3.36
Ga: 0.3333 0.6667 0.7500  12 Na 3.30-3.36
Ga: 0.6667 0.3333 0.2500  12 Na 3.30-3.36

Properties
Energy of formation (meV per atom): 26
Crystal system: hexagonal
E (eV/atom): -7.222

---

(2)
Compound: LiHoS2
Source: Alexandria
Functional: meta-GGA SCAN
Structure: single point on PBEsol structure

Unit cell a=6.4531 b=6.4531 c=6.4531 alpha=34.64 beta=34.64 gamma=34.64
Closest atoms and distances in Å follow each position.
Fractional positions:
Li: 0.0000 0.0000 0.0000  6 S 2.68
Ho: 0.5000 0.5000 0.5000  6 S 2.69
S: 0.2506 0.2506 0.2506  3 Li 2.68, 3 Ho 2.69
S: 0.7494 0.7494 0.7494  3 Li 2.68, 3 Ho 2.69

Properties
ΔE_f (raw) (meV per atom): -2102
Crystal system: trigonal
E (eV/atom): -19.760

---

(3)
Compound: SrTiP2O8
Source: Alexandria
Functional: meta-GGA SCAN
Structure: single point on PBEsol structure

Unit cell a=8.6389 b=8.6389 c=8.1654 alpha=115.69 beta=115.69 gamma=34.95
Closest atoms and distances in Å follow each position.
Fractional positions:
Sr: 0.1796 0.8204 0.7500  8 O 2.61-2.68
Sr: 0.8204 0.1796 0.2500  8 O 2.61-2.68
Ti: 0.0000 0.5000 0.5000  6 O 1.88-1.99
Ti: 0.5000 0.0000 0.0000  6 O 1.88-1.99
P: 0.1216 0.5953 0.2456  4 O 1.52-1.56
P: 0.4047 0.8784 0.2544  4 O 1.52-1.56
P: 0.5953 0.1216 0.7456  4 O 1.52-1.56
P: 0.8784 0.4047 0.7544  4 O 1.52-1.56
O: 0.0539 0.5135 0.3092  1 P 1.54
O: 0.1242 0.2063 0.8985  1 P 1.56
O: 0.1696 0.7372 0.3993  1 P 1.52
O: 0.2063 0.1242 0.3985  1 P 1.56
O: 0.2628 0.8304 0.1007  1 P 1.52
O: 0.3310 0.3798 0.6489  1 P 1.56
O: 0.3798 0.3310 0.1489  1 P 1.56
O: 0.4865 0.9461 0.1908  1 P 1.54
O: 0.5135 0.0539 0.8092  1 P 1.54
O: 0.6202 0.6690 0.8511  1 P 1.56
O: 0.6690 0.6202 0.3511  1 P 1.56
O: 0.7372 0.1696 0.8993  1 P 1.52
O: 0.7937 0.8758 0.6015  1 P 1.56
O: 0.8304 0.2628 0.6007  1 P 1.52
O: 0.8758 0.7937 0.1015  1 P 1.56
O: 0.9461 0.4865 0.6908  1 P 1.54

Properties
ΔE_f (raw) (meV per atom): -3004
Crystal system: monoclinic
E (eV/atom): -12.083

---

(4)
Compound: TaMo
Source: Alexandria
Functional: meta-GGA SCAN
Structure: single point on PBEsol structure

Unit cell a=3.1852 b=7.0995 c=7.0995 alpha=37.58 beta=90.00 gamma=90.00
Closest atoms and distances in Å follow each position.
Fractional positions:
Ta: 0.0000 0.0000 0.0000  4 Mo 2.74-2.78, 4 Ta 2.79
Ta: 0.0000 0.3300 0.3300  6 Mo 2.72-2.79, 2 Ta 2.83
Ta: 0.5000 0.5038 0.5038  2 Mo 2.74, 6 Ta 2.79-2.83
Mo: 0.0000 0.6698 0.6698  6 Mo 2.68-2.79, 2 Ta 2.74
Mo: 0.5000 0.1661 0.1661  4 Ta 2.72-2.74, 4 Mo 2.79
Mo: 0.5000 0.8302 0.8302  2 Mo 2.68, 6 Ta 2.78-2.79

Properties
Energy of formation (meV per atom): -126
Crystal system: orthorhombic
E (eV/atom): -50.860